Computed, not measured: ScTc after structural relaxation at the PBE-GGA level of DFT.

Calculated values
Crystal system: cubic
Calculated formation energy (eV per atom): -0.19

Cell lengths 12.124, 12.124, 12.124 Å; angles 90.00, 90.00, 90.00 degrees
Space group Fd-3m (No. 227, origin choice 2)
One atom of each set of equivalent atoms:
Sc: 0.071 0.375 0.375 [48 per cell]
Tc: 0.000 0.000 0.500 [16 per cell]
Tc: 0.044 0.044 0.706 [32 per cell]